No. 1
The following is a PBEsol calculation of a relaxed structure of HfSiBr2, from the Alexandria database.

a b c (Å): 9.7153 9.7153 9.7153
angles (deg): 19.43 19.43 19.43
Sites, in units of the cell vectors:
Hf (0.0000, 0.0000, 0.0000)
Si (0.5000, 0.5000, 0.5000)
Br (0.4015, 0.4015, 0.4015)
Br (0.5985, 0.5985, 0.5985)

Results
energy relative to the elements, uncorrected: -270 meV per atom
density of states at the Fermi level: 2.0 states/eV/cell
SG: R-3m (166)
E_tot: -5.267 eV/atom

=====

No. 2
The following is a PBEsol calculation of a relaxed structure of HfSnBr2, from the Alexandria database.

a b c (Å): 10.3583 10.3583 10.3583
angles (deg): 18.98 18.98 18.98
Sites, in units of the cell vectors:
Hf (0.0000, 0.0000, 0.0000)
Sn (0.5000, 0.5000, 0.5000)
Br (0.0827, 0.0827, 0.0827)
Br (0.9173, 0.9173, 0.9173)

Results
energy relative to the elements, uncorrected: -270 meV per atom
density of states at the Fermi level: 3.0 states/eV/cell
SG: R-3m (166)
E_tot: -4.895 eV/atom

=====

No. 3
The following is a PBEsol calculation of a relaxed structure of HfTa2TiBr, from the Alexandria database.

a b c (Å): 4.6508 4.6508 5.1121
angles (deg): 90.00 90.00 90.00
Sites, in units of the cell vectors:
Hf (0.0000, 0.0000, 0.0000)
Ta (0.0000, 0.5000, 0.5000)
Ta (0.5000, 0.0000, 0.5000)
Ti (0.0000, 0.0000, 0.5000)
Br (0.5000, 0.5000, 0.0000)

Results
energy relative to the elements, uncorrected: 1398 meV per atom
density of states at the Fermi level: 5.2 states/eV/cell
SG: P4/mmm (123)
E_tot: -7.762 eV/atom

=====

Number 3 is which compound?
HfTa2TiBr

=====

What is the energy relative to the elements, uncorrected in the second record?
-270 meV per atom